# 1
DFT (GGA-PBEsol) results for an optimized crystal structure of TaCr2Ag.

It has space group Cmmm (No. 65), with a = 3.109 Å, b = 4.278 Å, c = 8.629 Å, α = 90.00°, β = 90.00° and γ = 90.00°. Symmetry generates all atoms from Ta at (0.000, 0.000, 0.000), Cr at (0.000, 0.500, 0.244) and Ag at (0.000, 0.000, 0.500).

The value obtained for the total energy is -69.1 eV per cell. As for the total magnetization: 0.010 μB per cell. As for the formation energy: 449 meV/atom. For the offset from the most stable computed form, the calculation gives 2.902 kcal/mol of atoms.

***

# 2
DFT (GGA-PBEsol) results for an optimized crystal structure of Mg3Ag4.

It has space group I4/mmm (No. 139), with a = 3.412 Å, b = 3.412 Å, c = 21.456 Å, α = 90.00°, β = 90.00° and γ = 90.00°. Symmetry generates all atoms from Mg at (0.000, 0.000, 0.000), Mg at (0.000, 0.000, 0.294), Ag at (0.000, 0.000, 0.141) and Ag at (0.000, 0.000, 0.430).

The value obtained for the total energy is -39.0 eV per cell. As for the total magnetization: 0.000 μB per cell. As for the formation energy: -161 meV/atom.

***

# 3
DFT (GGA-PBEsol) results for an optimized crystal structure of MnMo2IrCl.

It has space group P4/mmm (No. 123), with a = 4.320 Å, b = 4.320 Å, c = 4.357 Å, α = 90.00°, β = 90.00° and γ = 90.00°. Symmetry generates all atoms from Mn at (0.000, 0.000, 0.000), Mo at (0.000, 0.500, 0.500), Ir at (0.500, 0.500, 0.000) and Cl at (0.500, 0.500, 0.500).

The value obtained for the total energy is -39.3 eV per cell. As for the total magnetization: 3.042 μB per cell.